1.
MgNi2F2 | the Alexandria database | SCAN | PBEsol geometry; uncorrected formation energy = -5.1 eV per formula unit; total magnetization = 3.88 μB per cell; Fermi-level density of states = 3.92 states/eV/cell
1.0
2.9813 0.0000 0.0000
0.0000 2.9813 0.0000
0.0000 0.0000 15.8510
Mg Ni F
2 4 4
Direct
0.0000 0.0000 0.0000
0.5000 0.5000 0.5000
0.0000 0.5000 0.2500
0.0000 0.5000 0.7500
0.5000 0.0000 0.2500
0.5000 0.0000 0.7500
0.0000 0.0000 0.4302
0.0000 0.0000 0.5698
0.5000 0.5000 0.0698
0.5000 0.5000 0.9302

=====

2.
RbMgNiF6 | the Alexandria database | SCAN | PBEsol geometry; uncorrected formation energy = -25.7 eV per formula unit; total magnetization = 2.00 μB per cell; Fermi-level density of states = 4.94 states/eV/cell
1.0
-3.5386 3.5850 4.9789
3.5386 -3.5850 4.9789
3.5386 3.5850 -4.9789
Rb Mg Ni F
2 2 2 12
Direct
0.3704 0.1204 0.2500
0.6296 0.8796 0.7500
0.0000 0.0000 0.5000
0.0000 0.5000 0.0000
0.0000 0.5000 0.5000
0.5000 0.5000 0.0000
0.0802 0.8302 0.2500
0.0838 0.4372 0.2711
0.0838 0.8127 0.6466
0.3108 0.5608 0.7500
0.3339 0.1873 0.7711
0.3339 0.5628 0.1466
0.6661 0.4372 0.8534
0.6661 0.8127 0.2289
0.6892 0.4392 0.2500
0.9162 0.1873 0.3534
0.9162 0.5628 0.7289
0.9198 0.1698 0.7500